Record 1
The following is a GGA-PBEsol calculation of Cu2Rh after structural relaxation, from Alexandria via LeMat-Bulk.

Values from the calculation:
- Energy relative to the lowest polymorph listed for this composition: 23.3 meV per atom
- VASP energy: -33.19 eV per cell
- Formation energy: 20 kJ/mol of formula units

```
Cu2Rh
1.0
4.777 -1.301 0.000
4.777 1.301 0.000
-1.714 0.000 5.882
Cu Rh
4 2
direct
0.026 0.026 0.293 Cu
0.361 0.361 0.972 Cu
0.639 0.639 0.028 Cu
0.974 0.974 0.707 Cu
0.309 0.309 0.365 Rh
0.691 0.691 0.635 Rh
```

=====

Record 2
The following is a GGA-PBEsol calculation of Cu2Rh after structural relaxation, from Alexandria via LeMat-Bulk.

Values from the calculation:
- Energy relative to the lowest polymorph listed for this composition: 407.7 meV per atom
- VASP energy: -15.44 eV per cell
- Formation energy: 131 kJ/mol of formula units

```
Cu2Rh
1.0
4.283 0.000 0.000
0.000 4.283 0.000
0.000 0.000 2.513
Cu Rh
2 1
direct
0.000 0.500 0.000 Cu
0.500 0.000 0.000 Cu
0.000 0.000 0.500 Rh
```

=====

Record 3
The following is a GGA-PBEsol calculation of Cu3Rh after structural relaxation, from Alexandria via LeMat-Bulk.

Values from the calculation:
- VASP energy: -20.87 eV per cell
- Formation energy: 26 kJ/mol of formula units

```
Cu3Rh
1.0
2.660 0.000 0.000
0.000 4.187 0.000
0.000 0.000 4.313
Cu Rh
3 1
direct
0.000 0.000 0.000 Cu
0.000 0.500 0.371 Cu
0.500 0.000 0.499 Cu
0.500 0.500 0.874 Rh
```

=====

Record 4
The following is a GGA-PBEsol calculation of Cu3Rh after structural relaxation, from Alexandria via LeMat-Bulk.

Values from the calculation:
- VASP energy: -20.82 eV per cell
- Formation energy: 31 kJ/mol of formula units

```
Cu3Rh
1.0
0.000 2.884 2.884
2.884 0.000 2.884
2.884 2.884 0.000
Cu Rh
3 1
direct
0.000 0.000 0.000 Cu
0.250 0.250 0.250 Cu
0.750 0.750 0.750 Cu
0.500 0.500 0.500 Rh
```

=====

Per-record D(E_F), states/eV/cell: 6.7; 2.1; 2.8; 3.7